No. 1
Material: Ac6Tb5Y
Method: DFT, PBE
State: optimized geometry

a b c (Å): 6.374 7.755 9.259
angles (deg): 90.00 94.22 90.00
Positions (direct):
Ac1 0.000 0.249 0.000
Ac2 0.000 0.751 0.000
Ac3 0.334 0.250 0.666
Ac4 0.334 0.750 0.666
Ac5 0.666 0.250 0.334
Ac6 0.666 0.750 0.334
Tb1 0.165 0.500 0.333
Tb2 0.166 0.000 0.334
Tb3 0.500 0.000 0.000
Tb4 0.834 0.000 0.666
Tb5 0.835 0.500 0.667
Y1 0.500 0.500 0.000

* symmetry: P2/m (10)
* total moment: 0.0000 μB/atom
* DOS at the Fermi energy: 16.62 states/eV/f.u.
* energy of formation from the pure elements: 0.046 eV/atom

No. 2
Material: AcTb12Y7
Method: DFT, PBE
State: optimized geometry

a b c (Å): 9.867 9.867 9.867
angles (deg): 109.47 109.47 109.47
Positions (direct):
Ac1 0.000 0.000 0.000
Tb1 0.001 0.265 0.735
Tb2 0.265 0.265 0.530
Tb3 0.265 0.530 0.265
Tb4 0.265 0.735 0.001
Tb5 0.265 0.999 0.735
Tb6 0.470 0.735 0.735
Tb7 0.530 0.265 0.265
Tb8 0.735 0.001 0.265
Tb9 0.735 0.265 0.999
Tb10 0.735 0.470 0.735
Tb11 0.735 0.735 0.470
Tb12 0.999 0.735 0.265
Y1 0.000 0.000 0.500
Y2 0.000 0.500 0.000
Y3 0.000 0.500 0.500
Y4 0.500 0.000 0.000
Y5 0.500 0.000 0.500
Y6 0.500 0.500 0.000
Y7 0.500 0.500 0.500

* symmetry: Im-3 (204)
* total moment: 0.0000 μB/atom
* DOS at the Fermi energy: 28.75 states/eV/f.u.
* energy of formation from the pure elements: 0.682 eV/atom
* E above lowest polymorph: 0.459 eV/atom

No. 3
Material: AcTb7Y3
Method: DFT, PBE
State: optimized geometry

a b c (Å): 6.564 6.747 8.699
angles (deg): 98.61 100.19 94.88
Positions (direct):
Ac1 0.000 0.000 0.000
Tb1 0.000 0.500 0.000
Tb2 0.048 0.207 0.635
Tb3 0.238 0.711 0.719
Tb4 0.484 0.248 0.903
Tb5 0.516 0.752 0.097
Tb6 0.762 0.289 0.281
Tb7 0.952 0.793 0.365
Y1 0.297 0.433 0.346
Y2 0.500 0.000 0.500
Y3 0.703 0.567 0.654

* symmetry: P-1 (2)
* total moment: 0.0000 μB/atom
* DOS at the Fermi energy: 18.22 states/eV/f.u.
* energy of formation from the pure elements: 0.126 eV/atom
* E above lowest polymorph: 0.000 eV/atom

No. 4
Material: AcTb3Y6
Method: DFT, PBE
State: optimized geometry

a b c (Å): 9.171 9.171 9.034
angles (deg): 90.00 90.00 116.75
Positions (direct):
Ac1 0.223 0.777 0.500
Ac2 0.777 0.223 0.000
Tb1 0.050 0.950 0.267
Tb2 0.193 0.306 0.087
Tb3 0.306 0.193 0.587
Tb4 0.694 0.807 0.087
Tb5 0.807 0.694 0.587
Tb6 0.950 0.050 0.767
Y1 0.031 0.313 0.415
Y2 0.175 0.468 0.760
Y3 0.289 0.711 0.124
Y4 0.313 0.031 0.915
Y5 0.453 0.547 0.398
Y6 0.468 0.175 0.260
Y7 0.532 0.825 0.760
Y8 0.547 0.453 0.898
Y9 0.687 0.969 0.415
Y10 0.711 0.289 0.624
Y11 0.825 0.532 0.260
Y12 0.969 0.687 0.915

* symmetry: Cmc2_1 (36)
* total moment: 0.0000 μB/atom
* DOS at the Fermi energy: 13.41 states/eV/f.u.
* energy of formation from the pure elements: 0.134 eV/atom
* E above lowest polymorph: 0.000 eV/atom

No. 5
Material: AcTb7Y2
Method: DFT, PBE
State: optimized geometry

a b c (Å): 9.609 9.609 9.609
angles (deg): 146.66 136.43 55.94
Positions (direct):
Ac1 0.000 0.000 0.000
Tb1 0.143 0.389 0.754
Tb2 0.203 0.203 0.000
Tb3 0.365 0.611 0.754
Tb4 0.500 0.000 0.500
Tb5 0.635 0.389 0.246
Tb6 0.797 0.797 0.000
Tb7 0.857 0.611 0.246
Y1 0.300 0.800 0.500
Y2 0.700 0.200 0.500

* symmetry: Immm (71)
* total moment: 0.0001 μB/atom
* DOS at the Fermi energy: 17.06 states/eV/f.u.
* energy of formation from the pure elements: 0.055 eV/atom
* E above lowest polymorph: 0.000 eV/atom

No. 6
Material: Ac2Tb3Y4
Method: DFT, PBE
State: optimized geometry

a b c (Å): 8.845 8.741 9.004
angles (deg): 90.00 112.98 90.00
Positions (direct):
Ac1 0.176 0.148 0.048
Ac2 0.176 0.352 0.548
Ac3 0.824 0.648 0.452
Ac4 0.824 0.852 0.952
Tb1 0.250 0.679 0.252
Tb2 0.250 0.821 0.752
Tb3 0.500 0.000 0.500
Tb4 0.500 0.500 0.000
Tb5 0.750 0.179 0.248
Tb6 0.750 0.321 0.748
Y1 0.089 0.536 0.875
Y2 0.089 0.964 0.375
Y3 0.480 0.136 0.853
Y4 0.480 0.364 0.353
Y5 0.520 0.636 0.647
Y6 0.520 0.864 0.147
Y7 0.911 0.036 0.625
Y8 0.911 0.464 0.125

* symmetry: P2_1/c (14)
* total moment: 0.0000 μB/atom
* DOS at the Fermi energy: 14.96 states/eV/f.u.
* energy of formation from the pure elements: 0.199 eV/atom